PBE ScSb, relaxed; energy relative to the elements, uncorrected = -401 meV/atom; spin magnetization = 0.0 μB/f.u.
1.0
8.979 0.000 0.000
0.000 8.979 0.000
0.000 0.000 8.979
Sc Sb
8 8
Direct
0.147 0.147 0.147
0.147 0.853 0.853
0.853 0.147 0.853
0.853 0.853 0.147
0.647 0.647 0.647
0.647 0.353 0.353
0.353 0.647 0.353
0.353 0.353 0.647
0.330 0.330 0.330
0.330 0.670 0.670
0.670 0.330 0.670
0.670 0.670 0.330
0.830 0.830 0.830
0.830 0.170 0.170
0.170 0.830 0.170
0.170 0.170 0.830